7
Lattice="-15.352 0.905 3.650 -14.399 5.325 3.760 14.363 -2.949 -5.901" Properties=species:S:1:pos:R:3 comment="Cr3Pb4, optimized geometry, DFT PBE" space_group=I4/mmm delta_e_f_ev_per_fu=3.308 magnetic_moment_mub_per_fu=3.8 pbc="T T T"
Cr 0.000 0.000 0.000
Cr -21.884 4.582 5.450
Cr -7.867 1.647 1.959
Pb -24.719 5.176 6.157
Pb -5.032 1.054 1.253
Pb -16.815 3.521 4.188
Pb -12.935 2.709 3.222

3
Lattice="-0.169 2.387 -2.067 -0.847 -2.028 -2.274 -5.614 0.690 3.674" Properties=species:S:1:pos:R:3 comment="HfAgSn, optimized geometry, DFT PBE" space_group=I4mm delta_e_f_ev_per_fu=-0.090 magnetic_moment_mub_per_fu=0.0 pbc="T T T"
Hf -6.567 1.041 -0.681
Sn -2.558 0.471 -1.667
Ag -4.133 0.588 1.016